# 1
This record from Alexandria describes a relaxed structure of LiAcIn2. The functional is PBE-GGA.

Properties
Calculated formation energy: -0.382 eV per atom

abc: 5.1095 6.2877 7.5337
angles: 90.00 90.00 113.97
Fractional positions:
Li  0.2013  0.4026  0.2500
In  0.3750  0.7500  0.9460
Ac  0.0971  0.1942  0.7500
In  0.6250  0.2500  0.4460
In  0.3750  0.7500  0.5540
Ac  0.9029  0.8058  0.2500
In  0.6250  0.2500  0.0540
Li  0.7987  0.5974  0.7500

---

# 2
This record from Alexandria describes a relaxed structure of LaGaP2Cl. The functional is PBE-GGA.

Properties
E above lowest polymorph: 2.76 eV/f.u.
Formation energy without anion corrections: -0.001 eV per atom

abc: 5.6145 5.6145 5.5517
angles: 90.00 90.00 90.00
Fractional positions:
P  0.0000  0.5000  0.0000
La  0.0000  0.0000  0.0000
Cl  0.0000  0.0000  0.5000
P  0.5000  0.0000  0.0000
Ga  0.5000  0.5000  0.5000

---

# 3
This record from Alexandria describes a relaxed structure of Cd2HgBr. The functional is PBE-GGA.

Properties
E above lowest polymorph: 0.00 eV/f.u.
Formation energy without anion corrections: -0.206 eV per atom

abc: 8.4477 8.4477 8.4477
angles: 26.71 26.71 26.71
Fractional positions:
Cd  0.9965  0.9965  0.9965
Hg  0.2500  0.2500  0.2500
Br  0.7500  0.7500  0.7500
Cd  0.5035  0.5035  0.5035

---

# 4
This record from Alexandria describes a relaxed structure of ScTlCd3. The functional is PBE-GGA.

Properties
Calculated formation energy: 0.641 eV per atom
E above lowest polymorph: 0.65 eV/f.u.

abc: 5.4388 5.4388 5.4388
angles: 90.00 90.00 90.00
Fractional positions:
Cd  0.0000  0.0000  0.5000
Cd  0.0000  0.5000  0.0000
Tl  0.0000  0.0000  0.0000
Cd  0.5000  0.0000  0.0000
Sc  0.5000  0.5000  0.5000